Compound: ScCu2Au
Source: the Alexandria database
Functional: GGA-PBEsol
Structure: relaxed

abc: 3.983 3.983 7.448
angles: 90.00 90.00 90.00
Space group I4/mmm (No. 139)
Symmetry-distinct sites (fractional):
Sc (0.000, 0.000, 0.000) (multiplicity 2)
Cu (0.000, 0.500, 0.250) (multiplicity 4)
Au (0.000, 0.000, 0.500) (multiplicity 2)

Energy of formation, eV/atom: -0.38

---

Compound: ScCu2Au
Source: the Alexandria database
Functional: GGA-PBEsol
Structure: relaxed

abc: 6.181 6.181 6.181
angles: 90.00 90.00 90.00
Space group Fm-3m (No. 225)
Symmetry-distinct sites (fractional):
Sc (0.000, 0.000, 0.000) (multiplicity 4)
Cu (0.250, 0.250, 0.250) (multiplicity 8)
Au (0.000, 0.000, 0.500) (multiplicity 4)

Energy of formation, eV/atom: -0.36

---

Compound: ScCu2Au
Source: the Alexandria database
Functional: GGA-PBEsol
Structure: relaxed

abc: 5.389 8.839 2.994
angles: 90.00 119.12 90.00
Space group C2/m (No. 12)
Symmetry-distinct sites (fractional):
Sc (0.000, 0.000, 0.000) (multiplicity 2)
Cu (0.250, 0.250, 0.500) (multiplicity 4)
Au (0.000, 0.500, 0.000) (multiplicity 2)

Energy of formation, eV/atom: -0.07

---

Compound: ScCuAu
Source: the Alexandria database
Functional: GGA-PBEsol
Structure: relaxed

abc: 3.401 3.401 8.419
angles: 90.00 90.00 90.00
Space group I4mm (No. 107)
Symmetry-distinct sites (fractional):
Sc (0.000, 0.000, 0.000) (multiplicity 2)
Cu (0.000, 0.000, 0.333) (multiplicity 2)
Au (0.000, 0.000, 0.669) (multiplicity 2)

Energy of formation, eV/atom: -0.58

---

Compound: Cu2AuSe
Source: the Alexandria database
Functional: GGA-PBEsol
Structure: relaxed

abc: 2.838 4.336 5.153
angles: 90.00 101.69 90.00
Space group Pm (No. 6)
Symmetry-distinct sites (fractional):
Cu (0.000, 0.000, 0.000) (multiplicity 1)
Cu (0.105, 0.500, 0.303) (multiplicity 1)
Au (0.660, 0.000, 0.436) (multiplicity 1)
Se (0.994, 0.500, 0.806) (multiplicity 1)

ΔE_f (raw), eV/atom: 0.10

---

Compound: CuAuSe2
Source: the Alexandria database
Functional: GGA-PBEsol
Structure: relaxed

abc: 5.648 5.648 11.017
angles: 90.00 90.00 90.00
Space group I-42d (No. 122)
Symmetry-distinct sites (fractional):
Cu (0.000, 0.000, 0.000) (multiplicity 4)
Au (0.000, 0.000, 0.500) (multiplicity 4)
Se (0.223, 0.250, 0.125) (multiplicity 8)

ΔE_f (raw), eV/atom: 0.02